Crystalline PrUSO2 at its relaxed geometry. Source: the Alexandria database, functional PBE.

Computed properties:
Formation energy (no corrections): -12.909 eV/f.u.
E: -43.02 eV for the cell shown
Total magnetic moment: 0.600 μB per atom

a = 6.6996 Å, b = 6.6996 Å, c = 6.6996 Å
α = 146.59°, β = 146.59°, γ = 47.98°
Last column: nearest neighbours and their distance in Å.
Element x y z (fractional)
Pr 0.0000 0.0000 0.0000  4 O 2.37
U 0.7137 0.7137 0.0000  4 O 2.28
S 0.3575 0.3575 0.0000  4 Pr 3.23, 4 U 3.24, 4 O 3.55
O 0.1135 0.6135 0.5000  2 U 2.28, 2 Pr 2.37
O 0.6135 0.1135 0.5000  2 U 2.28, 2 Pr 2.37